Record 1
Computed, not measured: crystalline Ti4Nb2Rh at its relaxed geometry at the GGA-PBE level of DFT.

Calculated values
- Theoretical density: 6.3 g/cm3
- Calculated total energy: -8.3317 eV per atom
- DFT formation energy: 0.107 eV/atom
- Energy above the most stable polymorph in this dataset: 0 meV/atom

Cell: 5.6786 5.6786 5.2533 Å, 109.94 109.94 111.22°
With the nearest neighbours (Å) after each atom.
Sites, in units of the cell vectors:
Ti 0.0000 0.0000 0.0000  2 Rh 2.63, 4 Ti 2.84
Ti 0.0000 0.5000 0.0000  4 Nb 2.63-2.65, 4 Ti 2.84
Ti 0.5000 0.0000 0.0000  4 Nb 2.63-2.65, 4 Ti 2.84
Ti 0.5000 0.5000 0.0000  2 Rh 2.65, 4 Ti 2.84
Nb 0.0000 0.5000 0.5000  4 Ti 2.63-2.65, 2 Rh 2.84
Nb 0.5000 0.0000 0.5000  4 Ti 2.63-2.65, 2 Rh 2.84
Rh 0.0000 0.0000 0.5000  4 Ti 2.63-2.65, 4 Nb 2.84

---

Record 2
Computed, not measured: crystalline Nd7YTm12 at its relaxed geometry at the GGA-PBE level of DFT.

Calculated values
- Theoretical density: 7.8 g/cm3
- Calculated total energy: -4.4448 eV per atom
- DFT formation energy: 0.230 eV/atom
- Energy above the most stable polymorph in this dataset: 0 meV/atom

Cell: 8.7465 8.7465 8.7465 Å, 85.82 85.82 85.82°
With the nearest neighbours (Å) after each atom.
Sites, in units of the cell vectors:
Nd 0.0000 0.0000 0.0000  6 Tm 3.29
Nd 0.1017 0.4234 0.3432  6 Tm 3.43-3.82, 3 Nd 3.45-3.46
Nd 0.3432 0.1017 0.4234  6 Tm 3.43-3.82, 3 Nd 3.45-3.46
Nd 0.4234 0.3432 0.1017  6 Tm 3.43-3.82, 3 Nd 3.45-3.46
Nd 0.5766 0.6568 0.8983  6 Tm 3.43-3.82, 3 Nd 3.45-3.46
Nd 0.6568 0.8983 0.5766  6 Tm 3.43-3.82, 3 Nd 3.45-3.46
Nd 0.8983 0.5766 0.6568  6 Tm 3.43-3.82, 3 Nd 3.45-3.46
Y 0.5000 0.5000 0.5000  6 Tm 3.40
Tm 0.0028 0.8817 0.3653  5 Tm 3.24-3.58, 2 Nd 3.29-3.43
Tm 0.1183 0.6347 0.9972  5 Tm 3.24-3.58, 2 Nd 3.29-3.43
Tm 0.2270 0.3545 0.7560  4 Tm 3.27-3.58, 1 Y 3.40, 2 Nd 3.48-3.58
Tm 0.2440 0.7730 0.6455  4 Tm 3.27-3.58, 1 Y 3.40, 2 Nd 3.48-3.58
Tm 0.3545 0.7560 0.2270  4 Tm 3.27-3.58, 1 Y 3.40, 2 Nd 3.48-3.58
Tm 0.3653 0.0028 0.8817  5 Tm 3.24-3.58, 2 Nd 3.29-3.43
Tm 0.6347 0.9972 0.1183  5 Tm 3.24-3.58, 2 Nd 3.29-3.43
Tm 0.6455 0.2440 0.7730  4 Tm 3.27-3.58, 1 Y 3.40, 2 Nd 3.48-3.58
Tm 0.7560 0.2270 0.3545  4 Tm 3.27-3.58, 1 Y 3.40, 2 Nd 3.48-3.58
Tm 0.7730 0.6455 0.2440  4 Tm 3.27-3.58, 1 Y 3.40, 2 Nd 3.48-3.58
Tm 0.8817 0.3653 0.0028  5 Tm 3.24-3.58, 2 Nd 3.29-3.43
Tm 0.9972 0.1183 0.6347  5 Tm 3.24-3.58, 2 Nd 3.29-3.43

---

Record 3
Computed, not measured: crystalline AlCdHg2I at its relaxed geometry at the GGA-PBE level of DFT.

Calculated values
- Theoretical density: 6.5 g/cm3
- Calculated total energy: -1.3387 eV per atom
- Raw formation energy: 23.6 meV/atom

Cell: 5.4196 5.4196 5.7637 Å, 90.00 90.00 90.00°
With the nearest neighbours (Å) after each atom.
Sites, in units of the cell vectors:
Al 0.0000 0.0000 0.0000  4 Hg 2.71, 2 I 2.88
Cd 0.5000 0.5000 0.5000  4 I 3.83, 8 Hg 3.96
Hg 0.0000 0.5000 0.0000  2 Al 2.71
Hg 0.5000 0.0000 0.0000  2 Al 2.71
I 0.0000 0.0000 0.5000  2 Al 2.88

---

Please write out number 1 again, unchanged.
Computed, not measured: crystalline Ti4Nb2Rh at its relaxed geometry at the GGA-PBE level of DFT.

Calculated values
- Theoretical density: 6.3 g/cm3
- Calculated total energy: -8.3317 eV per atom
- DFT formation energy: 0.107 eV/atom
- Energy above the most stable polymorph in this dataset: 0 meV/atom

Cell: 5.6786 5.6786 5.2533 Å, 109.94 109.94 111.22°
With the nearest neighbours (Å) after each atom.
Sites, in units of the cell vectors:
Ti 0.0000 0.0000 0.0000  2 Rh 2.63, 4 Ti 2.84
Ti 0.0000 0.5000 0.0000  4 Nb 2.63-2.65, 4 Ti 2.84
Ti 0.5000 0.0000 0.0000  4 Nb 2.63-2.65, 4 Ti 2.84
Ti 0.5000 0.5000 0.0000  2 Rh 2.65, 4 Ti 2.84
Nb 0.0000 0.5000 0.5000  4 Ti 2.63-2.65, 2 Rh 2.84
Nb 0.5000 0.0000 0.5000  4 Ti 2.63-2.65, 2 Rh 2.84
Rh 0.0000 0.0000 0.5000  4 Ti 2.63-2.65, 4 Nb 2.84